Entry from the Alexandria database: a relaxed structure of K2TaRe (PBE).

Properties
The calculation puts the formation energy at 0.850 eV/atom.

Geometry as CIF:
```
data_K2TaRe
_cell_length_a 5.900
_cell_length_b 3.387
_cell_length_c 12.137
_cell_angle_alpha 90.00
_cell_angle_beta 98.98
_cell_angle_gamma 90.00
_space_group_name_H-M_alt 'C 1 m 1'
_space_group_IT_number 8
loop_
_space_group_symop_operation_xyz
'x,y,z'
'x,-y,z'
'x+1/2,y+1/2,z'
'x+1/2,-y+1/2,z'
loop_
_atom_site_label
_atom_site_type_symbol
_atom_site_fract_x
_atom_site_fract_y
_atom_site_fract_z
_atom_site_occupancy
K1 K 0.000 0.000 0.000 1
K2 K 0.231 0.000 0.651 1
Ta1 Ta 0.270 0.500 0.277 1
Re1 Re 0.481 0.000 0.409 1
```

Entry from the Alexandria database: a relaxed structure of Nd2CdPb4 (PBE).

Properties
The calculation puts the formation energy at -0.338 eV/atom.

Geometry as CIF:
```
data_Nd2CdPb4
_cell_length_a 9.419
_cell_length_b 9.582
_cell_length_c 9.647
_cell_angle_alpha 90.00
_cell_angle_beta 90.00
_cell_angle_gamma 90.00
_space_group_name_H-M_alt 'F m m m'
_space_group_IT_number 69
_space_group_name_Hall '-F 2 2'
loop_
_atom_site_label
_atom_site_type_symbol
_atom_site_fract_x
_atom_site_fract_y
_atom_site_fract_z
_atom_site_occupancy
Nd1 Nd 0.000 0.250 0.250 1
Cd1 Cd 0.000 0.000 0.000 1
Pb1 Pb 0.250 0.000 0.250 1
Pb2 Pb 0.250 0.250 0.000 1
```

Entry from the Alexandria database: a relaxed structure of Be2Fe2Sb (PBE).

Properties
The value obtained for the uncorrected formation energy is 0.1191 eV/atom.

Geometry as CIF:
```
data_Be2Fe2Sb
_cell_length_a 6.117
_cell_length_b 6.117
_cell_length_c 3.093
_cell_angle_alpha 90.00
_cell_angle_beta 90.00
_cell_angle_gamma 90.00
_space_group_name_H-M_alt 'P 4/m b m'
_space_group_IT_number 127
_space_group_name_Hall '-P 4 2ab'
loop_
_atom_site_label
_atom_site_type_symbol
_atom_site_fract_x
_atom_site_fract_y
_atom_site_fract_z
_atom_site_occupancy
Be1 Be 0.116 0.384 0.000 1
Fe1 Fe 0.167 0.667 0.500 1
Sb1 Sb 0.000 0.000 0.000 1
```

no.,VASP energy (eV/atom)
1,-5.774
2,-3.950
3,-5.581